[1]
BiTeSe2O after structural relaxation. Source: the Alexandria database, functional PBE.

E_tot   -4.274 eV/atom
DOS at the Fermi energy   0.23 states/eV/atom
Raw formation energy   -0.48 eV per atom

abc: 4.1027 4.1027 13.9396
angles: 90.00 90.00 90.00
Last column: nearest neighbours and their distance in Å.
Fractional positions:
Bi: 0.2500 0.2500 0.0884  4 O 2.39
Bi: 0.7500 0.7500 0.9116  4 O 2.39
Te: 0.2500 0.2500 0.6204  5 Se 2.60-2.91
Te: 0.7500 0.7500 0.3796  5 Se 2.60-2.91
Se: 0.2500 0.2500 0.3921  5 Te 2.91-3.18
Se: 0.2500 0.2500 0.8072  1 Te 2.60
Se: 0.7500 0.7500 0.1928  1 Te 2.60
Se: 0.7500 0.7500 0.6079  5 Te 2.91-3.18
O: 0.2500 0.7500 0.0000  4 Bi 2.39
O: 0.7500 0.2500 0.0000  4 Bi 2.39


[2]
LaHo2Mg after structural relaxation. Source: the Alexandria database, functional PBE.

E_tot   -3.942 eV/atom
DOS at the Fermi energy   1.32 states/eV/atom
Energy above the most stable polymorph in this dataset   0 meV/atom

abc: 6.6857 6.6857 6.6857
angles: 146.78 130.06 61.30
Last column: nearest neighbours and their distance in Å.
Fractional positions:
La: 0.0000 0.0000 0.0000  4 Mg 3.41, 4 Ho 3.67
Ho: 0.2722 0.7722 0.5000  2 Mg 3.24, 4 Ho 3.45
Ho: 0.7278 0.2278 0.5000  2 Mg 3.24, 4 Ho 3.45
Mg: 0.5000 0.5000 0.0000  4 Ho 3.24, 4 La 3.41


[3]
Ac10TbPr4 after structural relaxation. Source: the Alexandria database, functional PBE.

E_tot   -4.077 eV/atom
DOS at the Fermi energy   1.52 states/eV/atom

abc: 9.8234 9.8234 9.8234
angles: 99.76 99.76 131.37
Last column: nearest neighbours and their distance in Å.
Fractional positions:
Ac: 0.0115 0.2257 0.7859  1 Tb 3.50, 4 Ac 3.62-3.83, 4 Pr 3.73-3.86
Ac: 0.2257 0.0115 0.7859  1 Tb 3.50, 4 Ac 3.62-3.83, 4 Pr 3.73-3.86
Ac: 0.2257 0.4398 0.2141  1 Tb 3.50, 4 Ac 3.62-3.83, 4 Pr 3.73-3.86
Ac: 0.2500 0.7500 0.5000  6 Ac 3.62-4.04
Ac: 0.4398 0.2257 0.2141  1 Tb 3.50, 4 Ac 3.62-3.83, 4 Pr 3.73-3.86
Ac: 0.5602 0.7743 0.7859  1 Tb 3.50, 4 Ac 3.62-3.83, 4 Pr 3.73-3.86
Ac: 0.7500 0.2500 0.5000  6 Ac 3.62-4.04
Ac: 0.7743 0.5602 0.7859  1 Tb 3.50, 4 Ac 3.62-3.83, 4 Pr 3.73-3.86
Ac: 0.7743 0.9885 0.2141  1 Tb 3.50, 4 Ac 3.62-3.83, 4 Pr 3.73-3.86
Ac: 0.9885 0.7743 0.2141  1 Tb 3.50, 4 Ac 3.62-3.83, 4 Pr 3.73-3.86
Tb: 0.5000 0.5000 0.0000  8 Ac 3.50
Pr: 0.2641 0.2641 0.5283  8 Ac 3.73-3.86, 2 Pr 4.08
Pr: 0.2641 0.7359 0.0000  8 Ac 3.73-3.86, 2 Pr 4.08
Pr: 0.7359 0.2641 0.0000  8 Ac 3.73-3.86, 2 Pr 4.08
Pr: 0.7359 0.7359 0.4717  8 Ac 3.73-3.86, 2 Pr 4.08


[4]
Rb2NdU3O12 after structural relaxation. Source: the Alexandria database, functional PBE.

E_tot   -8.422 eV/atom
DOS at the Fermi energy   0.87 states/eV/atom
Raw formation energy   -2.86 eV per atom

abc: 7.9098 7.9098 7.9098
angles: 61.92 61.92 61.92
Last column: nearest neighbours and their distance in Å.
Fractional positions:
Rb: 0.1339 0.1339 0.1339  3 O 3.25
Rb: 0.8661 0.8661 0.8661  3 O 3.25
Nd: 0.5000 0.5000 0.5000  6 O 2.38
U: 0.0000 0.5000 0.5000  6 O 1.98-2.13
U: 0.5000 0.0000 0.5000  6 O 1.98-2.13
U: 0.5000 0.5000 0.0000  6 O 1.98-2.13
O: 0.1470 0.5798 0.5798  1 U 1.98
O: 0.1967 0.1967 0.5710  2 U 2.13
O: 0.1967 0.5710 0.1967  2 U 2.13
O: 0.4202 0.4202 0.8530  1 U 1.98
O: 0.4202 0.8530 0.4202  1 U 1.98
O: 0.4290 0.8033 0.8033  2 U 2.13
O: 0.5710 0.1967 0.1967  2 U 2.13
O: 0.5798 0.1470 0.5798  1 U 1.98
O: 0.5798 0.5798 0.1470  1 U 1.98
O: 0.8033 0.4290 0.8033  2 U 2.13
O: 0.8033 0.8033 0.4290  2 U 2.13
O: 0.8530 0.4202 0.4202  1 U 1.98


[5]
BaTaPdO6 after structural relaxation. Source: the Alexandria database, functional PBE.

E_tot   -7.267 eV/atom
DOS at the Fermi energy   0.70 states/eV/atom
Raw formation energy   -1.85 eV per atom

abc: 5.3579 5.3579 5.8220
angles: 90.00 90.00 120.00
Last column: nearest neighbours and their distance in Å.
Fractional positions:
Ba: 0.0000 0.0000 0.0000  6 O 2.73
Ta: 0.6667 0.3333 0.5000  6 O 2.01
Pd: 0.3333 0.6667 0.5000  6 O 2.01
O: 0.3854 0.0013 0.6933  1 Ta 2.01, 1 Pd 2.01
O: 0.3854 0.3841 0.3067  1 Ta 2.01, 1 Pd 2.01
O: 0.6159 0.0013 0.3067  1 Ta 2.01, 1 Pd 2.01
O: 0.6159 0.6146 0.6933  1 Ta 2.01, 1 Pd 2.01
O: 0.9987 0.3841 0.6933  1 Ta 2.01, 1 Pd 2.01
O: 0.9987 0.6146 0.3067  1 Ta 2.01, 1 Pd 2.01


[6]
PmY after structural relaxation. Source: the Alexandria database, functional PBE.

E_tot   -5.564 eV/atom
DOS at the Fermi energy   1.77 states/eV/atom
Energy above the most stable polymorph in this dataset   26 meV/atom

abc: 6.8575 6.8575 5.6407
angles: 90.00 90.00 149.69
Last column: nearest neighbours and their distance in Å.
Fractional positions:
Pm: 0.0622 0.9378 0.7500  4 Pm 3.27-3.59, 3 Y 3.43-3.65
Pm: 0.9378 0.0622 0.2500  4 Pm 3.27-3.59, 3 Y 3.43-3.65
Y: 0.3216 0.6784 0.7500  7 Pm 3.43-3.68, 6 Y 3.59-3.84
Y: 0.6784 0.3216 0.2500  7 Pm 3.43-3.68, 6 Y 3.59-3.84


[7]
MnGa3Ni2 after structural relaxation. Source: the Alexandria database, functional PBE.

E_tot   -5.253 eV/atom
DOS at the Fermi energy   0.48 states/eV/atom

abc: 2.7643 2.7643 9.9741
angles: 90.00 90.00 90.00
Last column: nearest neighbours and their distance in Å.
Fractional positions:
Mn: 0.0000 0.0000 0.0000  8 Ga 2.63, 4 Mn 2.76
Ga: 0.5000 0.5000 0.1758  4 Ni 2.54, 4 Mn 2.63, 4 Ga 2.76
Ga: 0.5000 0.5000 0.5000  8 Ni 2.53, 4 Ga 2.76
Ga: 0.5000 0.5000 0.8242  4 Ni 2.54, 4 Mn 2.63, 4 Ga 2.76
Ni: 0.0000 0.0000 0.3386  8 Ga 2.53-2.54, 4 Ni 2.76
Ni: 0.0000 0.0000 0.6614  8 Ga 2.53-2.54, 4 Ni 2.76


[8]
Cu2RuSe after structural relaxation. Source: the Alexandria database, functional PBE.

E_tot   -4.809 eV/atom
DOS at the Fermi energy   0.86 states/eV/atom
Raw formation energy   0.43 eV per atom

abc: 5.5371 5.5371 5.5371
angles: 101.24 101.24 127.60
Last column: nearest neighbours and their distance in Å.
Fractional positions:
Cu: 0.1067 0.6250 0.9817  2 Cu 2.46, 2 Se 2.47, 2 Ru 2.65
Cu: 0.3750 0.3567 0.4817  2 Cu 2.46, 2 Se 2.47, 2 Ru 2.65
Cu: 0.6433 0.1250 0.0183  2 Cu 2.46, 2 Se 2.47, 2 Ru 2.65
Cu: 0.8750 0.8933 0.5183  2 Cu 2.46, 2 Se 2.47, 2 Ru 2.65
Ru: 0.2500 0.7500 0.5000  2 Se 2.44, 4 Cu 2.65
Ru: 0.5000 0.5000 0.0000  2 Se 2.44, 4 Cu 2.65
Se: 0.0000 0.0000 0.0000  2 Ru 2.44, 4 Cu 2.47
Se: 0.7500 0.2500 0.5000  2 Ru 2.44, 4 Cu 2.47


[9]
Zr2CoTc after structural relaxation. Source: the Alexandria database, functional PBE.

E_tot   -9.001 eV/atom
DOS at the Fermi energy   0.38 states/eV/atom
Energy above the most stable polymorph in this dataset   15 meV/atom

abc: 4.5895 4.5895 4.5895
angles: 60.00 60.00 60.00
Last column: nearest neighbours and their distance in Å.
Fractional positions:
Zr: 0.2500 0.2500 0.2500  4 Tc 2.81, 4 Co 2.81
Zr: 0.7500 0.7500 0.7500  4 Co 2.81, 4 Tc 2.81
Co: 0.0000 0.0000 0.0000  8 Zr 2.81
Tc: 0.5000 0.5000 0.5000  8 Zr 2.81


[10]
BeFeOs after structural relaxation. Source: the Alexandria database, functional PBE.

E_tot   -7.854 eV/atom
DOS at the Fermi energy   0.68 states/eV/atom
Energy above the most stable polymorph in this dataset   61 meV/atom

abc: 5.4922 4.5206 4.3750
angles: 76.23 53.08 50.69
Last column: nearest neighbours and their distance in Å.
Fractional positions:
Be: 0.2500 0.2500 0.2500  2 Be 2.17, 4 Fe 2.34, 4 Os 2.36
Be: 0.7500 0.7500 0.7500  2 Be 2.17, 4 Fe 2.34, 4 Os 2.36
Fe: 0.1450 0.1450 0.8550  1 Fe 2.30, 4 Be 2.34
Fe: 0.8550 0.8550 0.1450  1 Fe 2.30, 4 Be 2.34
Os: 0.3390 0.6610 0.3390  4 Be 2.36, 3 Os 2.45-2.56
Os: 0.6610 0.3390 0.6610  4 Be 2.36, 3 Os 2.45-2.56


[11]
Mg2CrTe after structural relaxation. Source: the Alexandria database, functional PBE.

E_tot   -3.772 eV/atom
DOS at the Fermi energy   0.35 states/eV/atom
Raw formation energy   0.22 eV per atom

abc: 3.3090 3.3090 8.2213
angles: 90.00 90.00 90.00
Last column: nearest neighbours and their distance in Å.
Fractional positions:
Mg: 0.0000 0.0000 0.2185  4 Cr 2.95, 4 Te 3.29
Mg: 0.0000 0.0000 0.7815  4 Cr 2.95, 4 Te 3.29
Cr: 0.5000 0.5000 0.0000  8 Mg 2.95
Te: 0.5000 0.5000 0.5000  8 Mg 3.29, 4 Te 3.31


[12]
Hf3Sc2Fe2 after structural relaxation. Source: the Alexandria database, functional PBE.

E_tot   -8.501 eV/atom
DOS at the Fermi energy   1.06 states/eV/atom
Energy above the most stable polymorph in this dataset   142 meV/atom

abc: 3.2227 5.5491 7.9828
angles: 98.47 90.05 106.85
Last column: nearest neighbours and their distance in Å.
Fractional positions:
Hf: 0.0000 0.0000 0.0000  4 Fe 2.70
Hf: 0.3722 0.7433 0.2546  3 Fe 2.58-2.86
Hf: 0.6278 0.2567 0.7454  3 Fe 2.58-2.86
Sc: 0.1247 0.2504 0.3905  6 Hf 2.98-3.26, 2 Fe 2.99-3.00, 2 Sc 3.22
Sc: 0.8753 0.7496 0.6095  6 Hf 2.98-3.26, 2 Fe 2.99-3.00, 2 Sc 3.22
Fe: 0.2990 0.5994 0.8944  5 Hf 2.58-2.86, 2 Fe 2.66-2.67
Fe: 0.7010 0.4006 0.1056  5 Hf 2.58-2.86, 2 Fe 2.66-2.67